SrSiCl2: optimized geometry, PBE.

As for the uncorrected energy: -0.2624 Ry per atom. For the raw formation energy, the calculation gives -870 meV per atom.

It has space group C2/m (No. 12), with a = 6.9409 Å, b = 8.1439 Å, c = 5.3185 Å, α = 90.00°, β = 130.23° and γ = 90.00°. The asymmetric unit holds Sr at (0.0000, 0.0000, 0.0000), Si at (0.0000, 0.5000, 0.0000) and Cl at (0.2500, 0.2500, 0.5000).